Record 1
## Ca2MgGaO5 (PBE-GGA)

Data for a geometry-optimized Ca2MgGaO5 structure.

Results
Energy: -6.06 eV/atom
Formation energy (no corrections): -2.343 eV per atom
Magnetization: 1.03 μB/f.u.

The structure in CIF format:
```
data_Ca2MgGaO5
_chemical_formula_sum 'Ca8 Mg4 Ga4 O20'
_symmetry_space_group_name_H-M 'C m c 21'
_symmetry_Int_Tables_number 36
_symmetry_space_group_name_Hall 'C 2c -2'
_cell_length_a 3.328
_cell_length_b 13.093
_cell_length_c 10.015
_cell_angle_alpha 90.00
_cell_angle_beta 90.00
_cell_angle_gamma 90.00
loop_
_atom_site_label
_atom_site_fract_x
_atom_site_fract_y
_atom_site_fract_z
Ca1 0.000 0.100 0.000
Ca2 0.000 0.135 0.629
Mg1 0.000 0.223 0.351
Ga1 0.000 0.464 0.792
O1 0.000 0.061 0.380
O2 0.000 0.276 0.989
O3 0.000 0.307 0.736
O4 0.000 0.381 0.327
O5 0.000 0.495 0.610
```

***

Record 2
## Ca2Mg2H7 (PBE-GGA)

Data for a geometry-optimized Ca2Mg2H7 structure.

Results
Energy: -3.09 eV/atom
Magnetization: 0.00 μB/f.u.

The structure in CIF format:
```
data_Ca2Mg2H7
_chemical_formula_sum 'Ca4 Mg4 H14'
_symmetry_space_group_name_H-M 'C m m m'
_symmetry_Int_Tables_number 65
_symmetry_space_group_name_Hall '-C 2 2'
_cell_length_a 6.892
_cell_length_b 7.417
_cell_length_c 4.941
_cell_angle_alpha 90.00
_cell_angle_beta 90.00
_cell_angle_gamma 90.00
loop_
_atom_site_label
_atom_site_fract_x
_atom_site_fract_y
_atom_site_fract_z
Ca1 0.248 0.000 0.000
Mg1 0.000 0.228 0.500
H1 0.000 0.000 0.268
H2 0.000 0.500 0.500
H3 0.250 0.250 0.261
```

***

Record 3
## AlMo2W (PBE-GGA)

Data for a geometry-optimized AlMo2W structure.

Results
Energy: -9.62 eV/atom
ΔH_f (0 K): -0.030 eV per atom
Magnetization: 0.00 μB/f.u.

The structure in CIF format:
```
data_AlMo2W
_chemical_formula_sum 'Al1 Mo2 W1'
_symmetry_space_group_name_H-M 'P 1 m 1'
_symmetry_Int_Tables_number 6
_symmetry_space_group_name_Hall 'P -2y'
_cell_length_a 2.725
_cell_length_b 4.437
_cell_length_c 5.298
_cell_angle_alpha 90.00
_cell_angle_beta 101.66
_cell_angle_gamma 90.00
loop_
_atom_site_label
_atom_site_fract_x
_atom_site_fract_y
_atom_site_fract_z
Al1 0.000 0.000 0.000
Mo1 0.508 0.000 0.499
Mo2 0.727 0.500 0.244
W1 0.283 0.500 0.752
```

***

Record 4
## KGa2Br (PBE-GGA)

Data for a geometry-optimized KGa2Br structure.

Results
Energy: -2.63 eV/atom
Formation energy (no corrections): -0.424 eV per atom
Magnetization: 0.00 μB/f.u.
E above lowest polymorph: 0 meV/atom

The structure in CIF format:
```
data_KGa2Br
_chemical_formula_sum 'K4 Ga8 Br4'
_symmetry_space_group_name_H-M 'I -4 2 d'
_symmetry_Int_Tables_number 122
_symmetry_space_group_name_Hall 'I -4 2bw'
_cell_length_a 4.605
_cell_length_b 4.605
_cell_length_c 23.787
_cell_angle_alpha 90.00
_cell_angle_beta 90.00
_cell_angle_gamma 90.00
loop_
_atom_site_label
_atom_site_fract_x
_atom_site_fract_y
_atom_site_fract_z
K1 0.000 0.000 0.000
Ga1 0.129 0.750 0.625
Br1 0.000 0.000 0.500
```

***

Record 5
## BiPb2Au2 (PBE-GGA)

Data for a geometry-optimized BiPb2Au2 structure.

Results
Energy: -3.47 eV/atom
ΔH_f (0 K): 0.099 eV per atom
Magnetization: 0.00 μB/f.u.
E above lowest polymorph: 162 meV/atom

The structure in CIF format:
```
data_BiPb2Au2
_chemical_formula_sum 'Bi2 Pb4 Au4'
_symmetry_space_group_name_H-M 'P 4/m b m'
_symmetry_Int_Tables_number 127
_symmetry_space_group_name_Hall '-P 4 2ab'
_cell_length_a 8.755
_cell_length_b 8.755
_cell_length_c 3.487
_cell_angle_alpha 90.00
_cell_angle_beta 90.00
_cell_angle_gamma 90.00
loop_
_atom_site_label
_atom_site_fract_x
_atom_site_fract_y
_atom_site_fract_z
Bi1 0.000 0.000 0.000
Pb1 0.150 0.350 0.000
Au1 0.150 0.650 0.500
```

***

Record 6
## TaSb2P (PBE-GGA)

Data for a geometry-optimized TaSb2P structure.

Results
Energy: -6.39 eV/atom
Formation energy (no corrections): -0.017 eV per atom
Magnetization: 0.00 μB/f.u.

The structure in CIF format:
```
data_TaSb2P
_chemical_formula_sum 'Ta3 Sb6 P3'
_symmetry_space_group_name_H-M 'R 3 m'
_symmetry_Int_Tables_number 160
_symmetry_space_group_name_Hall 'R 3 -2"'
_cell_length_a 3.3211
_cell_length_b 3.3211
_cell_length_c 27.5964
_cell_angle_alpha 90.00
_cell_angle_beta 90.00
_cell_angle_gamma 120.00
loop_
_atom_site_label
_atom_site_fract_x
_atom_site_fract_y
_atom_site_fract_z
Ta1 0.0000 0.0000 0.0000
Sb1 0.0000 0.0000 0.5220
Sb2 0.0000 0.0000 0.7469
P1 0.0000 0.0000 0.2758
```

***

Record 7
## Ta3OsBr (PBE-GGA)

Data for a geometry-optimized Ta3OsBr structure.

Results
Energy: -7.92 eV/atom
Formation energy (no corrections): 1.771 eV per atom
Magnetization: 0.00 μB/f.u.
E above lowest polymorph: 464 meV/atom

The structure in CIF format:
```
data_Ta3OsBr
_chemical_formula_sum 'Ta3 Os1 Br1'
_symmetry_space_group_name_H-M 'P m -3 m'
_symmetry_Int_Tables_number 221
_symmetry_space_group_name_Hall '-P 4 2 3'
_cell_length_a 4.624
_cell_length_b 4.624
_cell_length_c 4.624
_cell_angle_alpha 90.00
_cell_angle_beta 90.00
_cell_angle_gamma 90.00
loop_
_atom_site_label
_atom_site_fract_x
_atom_site_fract_y
_atom_site_fract_z
Ta1 0.000 0.000 0.500
Os1 0.500 0.500 0.500
Br1 0.000 0.000 0.000
```

***

Record 8
## CdBiSbOs2 (PBE-GGA)

Data for a geometry-optimized CdBiSbOs2 structure.

Results
Energy: -4.01 eV/atom
Formation energy (no corrections): 2.270 eV per atom
Magnetization: 2.11 μB/f.u.

The structure in CIF format:
```
data_CdBiSbOs2
_chemical_formula_sum 'Cd1 Bi1 Sb1 Os2'
_symmetry_space_group_name_H-M 'P 4/m m m'
_symmetry_Int_Tables_number 123
_symmetry_space_group_name_Hall '-P 4 2'
_cell_length_a 5.052
_cell_length_b 5.052
_cell_length_c 5.777
_cell_angle_alpha 90.00
_cell_angle_beta 90.00
_cell_angle_gamma 90.00
loop_
_atom_site_label
_atom_site_fract_x
_atom_site_fract_y
_atom_site_fract_z
Cd1 0.000 0.000 0.000
Bi1 0.500 0.500 0.500
Sb1 0.500 0.500 0.000
Os1 0.000 0.500 0.500
```